# 1
The following is a PBE-GGA calculation of a geometry-optimized NaHoTm2Te4 structure, from Alexandria.

Lattice parameters (Å, degrees): 7.568 4.310 7.573 90.00 108.83 90.00
Fractional coordinates of all 8 atoms:
Na1 0.000 0.000 0.000
Ho1 0.000 0.500 0.500
Tm1 0.500 0.000 0.500
Tm2 0.500 0.500 0.000
Te1 0.253 0.000 0.751
Te2 0.256 0.500 0.254
Te3 0.744 0.500 0.746
Te4 0.747 0.000 0.249

Results
Formation energy without anion corrections   -1.2506 eV per atom
Magnetization   0.00 μB per atom
Symmetry   No. 10


# 2
The following is a PBE-GGA calculation of a geometry-optimized Na3HoTm3Te8 structure, from Alexandria.

Lattice parameters (Å, degrees): 9.172 9.172 9.172 56.20 56.20 56.20
Fractional coordinates of all 15 atoms:
Na1 0.000 0.500 0.500
Na2 0.500 0.000 0.500
Na3 0.500 0.500 0.000
Ho1 0.500 0.500 0.500
Tm1 0.000 0.000 0.500
Tm2 0.000 0.500 0.000
Tm3 0.500 0.000 0.000
Te1 0.239 0.746 0.746
Te2 0.243 0.243 0.243
Te3 0.254 0.254 0.761
Te4 0.254 0.761 0.254
Te5 0.746 0.239 0.746
Te6 0.746 0.746 0.239
Te7 0.757 0.757 0.757
Te8 0.761 0.254 0.254

Results
Formation energy without anion corrections   -1.2343 eV per atom
Magnetization   0.00 μB per atom
Symmetry   No. 166


# 3
The following is a PBE-GGA calculation of a geometry-optimized Na3Ho2TmTe6 structure, from Alexandria.

Lattice parameters (Å, degrees): 7.625 7.625 7.981 99.17 99.17 120.00
Fractional coordinates of all 12 atoms:
Na1 0.000 0.000 0.000
Na2 0.333 0.667 0.000
Na3 0.667 0.333 0.000
Ho1 0.167 0.833 0.500
Ho2 0.833 0.167 0.500
Tm1 0.500 0.500 0.500
Te1 0.092 0.423 0.270
Te2 0.245 0.245 0.730
Te3 0.423 0.092 0.270
Te4 0.577 0.908 0.730
Te5 0.755 0.755 0.270
Te6 0.908 0.577 0.730

Results
Formation energy without anion corrections   -1.3047 eV per atom
Magnetization   0.00 μB per atom
Symmetry   No. 12


# 4
The following is a PBE-GGA calculation of a geometry-optimized Na4Ho3TmTe8 structure, from Alexandria.

Lattice parameters (Å, degrees): 9.116 9.116 9.116 57.80 57.80 57.80
Fractional coordinates of all 16 atoms:
Na1 0.000 0.000 0.000
Na2 0.000 0.500 0.500
Na3 0.500 0.000 0.500
Na4 0.500 0.500 0.000
Ho1 0.000 0.000 0.500
Ho2 0.000 0.500 0.000
Ho3 0.500 0.000 0.000
Tm1 0.500 0.500 0.500
Te1 0.244 0.244 0.244
Te2 0.245 0.743 0.743
Te3 0.257 0.257 0.755
Te4 0.257 0.755 0.257
Te5 0.743 0.245 0.743
Te6 0.743 0.743 0.245
Te7 0.755 0.257 0.257
Te8 0.756 0.756 0.756

Results
Formation energy without anion corrections   -1.3058 eV per atom
Magnetization   0.00 μB per atom
Symmetry   No. 166


# 5
The following is a PBE-GGA calculation of a geometry-optimized Na2HoTmTe4 structure, from Alexandria.

Lattice parameters (Å, degrees): 7.612 4.399 7.987 90.00 108.57 90.00
Fractional coordinates of all 8 atoms:
Na1 0.000 0.000 0.000
Na2 0.500 0.500 0.000
Ho1 0.000 0.500 0.500
Tm1 0.500 0.000 0.500
Te1 0.245 0.000 0.730
Te2 0.258 0.500 0.270
Te3 0.742 0.500 0.730
Te4 0.755 0.000 0.270

Results
Formation energy without anion corrections   -1.3016 eV per atom
Magnetization   0.00 μB per atom
Symmetry   No. 10


# 6
The following is a PBE-GGA calculation of a geometry-optimized NaHo2TmTe4 structure, from Alexandria.

Lattice parameters (Å, degrees): 7.573 4.319 7.586 90.00 108.82 90.00
Fractional coordinates of all 8 atoms:
Na1 0.000 0.000 0.000
Ho1 0.000 0.500 0.500
Ho2 0.500 0.000 0.500
Tm1 0.500 0.500 0.000
Te1 0.252 0.000 0.752
Te2 0.254 0.500 0.252
Te3 0.746 0.500 0.748
Te4 0.748 0.000 0.248

Results
Formation energy without anion corrections   -1.2628 eV per atom
Magnetization   0.00 μB per atom
Symmetry   No. 10


# 7
The following is a PBE-GGA calculation of a geometry-optimized Na3Ho3UTe8 structure, from Alexandria.

Lattice parameters (Å, degrees): 9.140 9.140 9.140 57.49 57.49 57.49
Fractional coordinates of all 15 atoms:
Na1 0.000 0.500 0.500
Na2 0.500 0.000 0.500
Na3 0.500 0.500 0.000
Ho1 0.000 0.000 0.500
Ho2 0.000 0.500 0.000
Ho3 0.500 0.000 0.000
U1 0.500 0.500 0.500
Te1 0.241 0.744 0.744
Te2 0.244 0.244 0.244
Te3 0.256 0.256 0.759
Te4 0.256 0.759 0.256
Te5 0.744 0.241 0.744
Te6 0.744 0.744 0.241
Te7 0.756 0.756 0.756
Te8 0.759 0.256 0.256

Results
Formation energy without anion corrections   -1.1586 eV per atom
Magnetization   0.13 μB per atom
Symmetry   No. 166


# 8
The following is a PBE-GGA calculation of a geometry-optimized Na2HoUTe4 structure, from Alexandria.

Lattice parameters (Å, degrees): 7.669 4.418 8.008 90.00 108.60 90.00
Fractional coordinates of all 8 atoms:
Na1 0.000 0.000 0.000
Na2 0.500 0.500 0.000
Ho1 0.000 0.500 0.500
U1 0.500 0.000 0.500
Te1 0.241 0.000 0.733
Te2 0.251 0.500 0.265
Te3 0.749 0.500 0.735
Te4 0.759 0.000 0.267

Results
Formation energy without anion corrections   -1.0252 eV per atom
Magnetization   0.38 μB per atom
Symmetry   No. 10


# 9
The following is a PBE-GGA calculation of a geometry-optimized Na2Ho2UTe6 structure, from Alexandria.

Lattice parameters (Å, degrees): 7.595 7.595 8.037 99.13 99.13 119.88
Fractional coordinates of all 11 atoms:
Na1 0.167 0.833 0.000
Na2 0.833 0.167 0.000
Ho1 0.332 0.668 0.500
Ho2 0.668 0.332 0.500
U1 0.000 0.000 0.500
Te1 0.079 0.410 0.731
Te2 0.256 0.256 0.272
Te3 0.410 0.079 0.731
Te4 0.590 0.921 0.269
Te5 0.744 0.744 0.728
Te6 0.921 0.590 0.269

Results
Formation energy without anion corrections   -1.1032 eV per atom
Magnetization   0.18 μB per atom
Symmetry   No. 12


# 10
The following is a PBE-GGA calculation of a geometry-optimized Na4Ho3VTe8 structure, from Alexandria.

Lattice parameters (Å, degrees): 9.085 9.085 9.085 56.76 56.76 56.76
Fractional coordinates of all 16 atoms:
Na1 0.000 0.000 0.000
Na2 0.000 0.500 0.500
Na3 0.500 0.000 0.500
Na4 0.500 0.500 0.000
Ho1 0.000 0.000 0.500
Ho2 0.000 0.500 0.000
Ho3 0.500 0.000 0.000
V1 0.500 0.500 0.500
Te1 0.245 0.245 0.245
Te2 0.260 0.731 0.731
Te3 0.269 0.269 0.740
Te4 0.269 0.740 0.269
Te5 0.731 0.260 0.731
Te6 0.731 0.731 0.260
Te7 0.740 0.269 0.269
Te8 0.755 0.755 0.755

Results
Formation energy without anion corrections   -1.0816 eV per atom
Magnetization   0.13 μB per atom
Symmetry   No. 166


# 11
The following is a PBE-GGA calculation of a geometry-optimized NaY2Ho3Te6 structure, from Alexandria.

Lattice parameters (Å, degrees): 9.791 9.791 8.790 103.20 103.20 25.67
Fractional coordinates of all 12 atoms:
Na1 0.000 0.000 0.000
Y1 0.330 0.330 0.656
Y2 0.670 0.670 0.344
Ho1 0.000 0.000 0.500
Ho2 0.335 0.335 0.174
Ho3 0.665 0.665 0.826
Te1 0.164 0.164 0.585
Te2 0.169 0.169 0.082
Te3 0.498 0.498 0.747
Te4 0.502 0.502 0.253
Te5 0.831 0.831 0.918
Te6 0.836 0.836 0.415

Results
Formation energy without anion corrections   -1.2964 eV per atom
Magnetization   0.00 μB per atom
Symmetry   No. 12


How do the records compare in volume? In the order shown, they have 233.8; 497.7; 380.9; 508.5; 253.5; 234.8; 508.7; 257.2; 381.3; 490.5; 354.9 Å³ per cell.
How do the records compare in ρ? In the order shown, they have 7.36; 5.88; 5.81; 5.80; 5.83; 7.30; 5.95; 6.19; 6.01; 5.62; 6.84 g/cm3.
How do the records compare in final energy? In the order shown, they have -4.676; -4.373; -4.341; -4.344; -4.333; -4.702; -4.766; -4.909; -4.915; -4.410; -5.199 eV/atom.